No. 1
Compound: Sm7In2Ag2
Source: the Alexandria database
Functional: GGA-PBE
Structure: optimized geometry

DOS at the Fermi energy ... 14.5 states/eV/cell
VASP energy ... -4.048 eV/atom
Calculated volume ... 31.8 A^3/atom

Cell: 7.022 7.460 7.022 Å, 90.00 108.14 90.00°
Atoms (fractional coordinates):
1 Sm 0.000 0.273 0.500
2 Sm 0.500 0.257 0.500
3 Sm 0.000 0.000 0.000
4 Sm 0.500 0.727 0.000
5 Sm 0.500 0.273 0.000
6 Ag 0.711 0.000 0.289
7 Ag 0.289 0.000 0.711
8 In 0.828 0.500 0.828
9 In 0.172 0.500 0.172
10 Sm 0.000 0.727 0.500
11 Sm 0.500 0.743 0.500

***

No. 2
Compound: SmIn3Ag2
Source: the Alexandria database
Functional: GGA-PBE
Structure: optimized geometry

DOS at the Fermi energy ... 6.1 states/eV/cell
VASP energy ... -3.345 eV/atom
Calculated volume ... 24.0 A^3/atom

Cell: 4.653 8.729 8.728 Å, 58.50 74.81 74.81°
Atoms (fractional coordinates):
1 In 0.000 0.662 0.338
2 Ag 0.200 0.299 0.300
3 In 0.326 0.471 0.879
4 In 0.674 0.529 0.121
5 Ag 0.500 0.158 0.842
6 Ag 0.800 0.701 0.700
7 In 0.674 0.121 0.529
8 Sm 0.125 0.873 0.873
9 Ag 0.500 0.842 0.158
10 Sm 0.875 0.127 0.127
11 In 0.326 0.879 0.471
12 In 0.000 0.338 0.662

***

No. 3
Compound: Sm4In2Ag
Source: the Alexandria database
Functional: GGA-PBE
Structure: optimized geometry

DOS at the Fermi energy ... 10.2 states/eV/cell
Energy relative to the lowest polymorph listed for this composition ... 0 meV per atom
VASP energy ... -4.144 eV/atom
Calculated volume ... 30.4 A^3/atom

Cell: 5.338 5.338 9.154 Å, 73.05 73.05 60.00°
Atoms (fractional coordinates):
1 In 0.250 0.250 0.249
2 Sm 0.623 0.623 0.132
3 Ag 0.000 0.000 0.000
4 In 0.750 0.750 0.751
5 Sm 0.874 0.874 0.379
6 Sm 0.377 0.377 0.868
7 Sm 0.126 0.126 0.621

***

No. 4
Compound: Sm5In4Ag
Source: the Alexandria database
Functional: GGA-PBE
Structure: optimized geometry

DOS at the Fermi energy ... 6.0 states/eV/cell
VASP energy ... -4.192 eV/atom
Calculated volume ... 27.5 A^3/atom

Cell: 3.648 3.648 20.696 Å, 90.00 90.00 90.00°
Atoms (fractional coordinates):
1 Sm 0.500 0.500 0.907
2 In 0.000 0.000 0.807
3 In 0.000 0.000 0.193
4 Sm 0.500 0.500 0.093
5 Sm 0.500 0.500 0.500
6 Ag 0.000 0.000 0.000
7 In 0.000 0.000 0.398
8 Sm 0.500 0.500 0.704
9 Sm 0.500 0.500 0.296
10 In 0.000 0.000 0.602

***

No. 5
Compound: Sm3In4Ag2
Source: the Alexandria database
Functional: GGA-PBE
Structure: optimized geometry

DOS at the Fermi energy ... 5.0 states/eV/cell
VASP energy ... -3.870 eV/atom
Calculated volume ... 25.5 A^3/atom

Cell: 4.907 6.143 8.777 Å, 74.40 73.77 66.46°
Atoms (fractional coordinates):
1 Sm 0.000 0.000 0.000
2 In 0.263 0.395 0.078
3 In 0.737 0.605 0.922
4 Ag 0.601 0.069 0.729
5 Sm 0.329 0.686 0.656
6 Sm 0.671 0.314 0.344
7 Ag 0.399 0.931 0.271
8 In 0.039 0.292 0.630
9 In 0.961 0.708 0.370

***

No. 6
Compound: Sm2In5Ag3
Source: the Alexandria database
Functional: GGA-PBE
Structure: optimized geometry

DOS at the Fermi energy ... 7.5 states/eV/cell
VASP energy ... -3.428 eV/atom
Calculated volume ... 24.5 A^3/atom

Cell: 6.391 9.332 9.332 Å, 80.54 69.98 69.98°
Atoms (fractional coordinates):
1 In 0.009 0.241 0.241
2 Ag 0.130 0.237 0.502
3 In 0.750 0.500 0.500
4 Ag 0.250 0.000 0.000
5 In 0.509 0.241 0.241
6 In 0.392 0.259 0.957
7 In 0.892 0.957 0.259
8 In 0.608 0.741 0.043
9 In 0.108 0.043 0.741
10 Sm 0.869 0.390 0.873
11 Ag 0.630 0.502 0.237
12 In 0.250 0.500 0.500
13 In 0.991 0.759 0.759
14 Sm 0.369 0.873 0.390
15 Sm 0.131 0.610 0.127
16 Sm 0.631 0.127 0.610
17 Ag 0.870 0.763 0.498
18 Ag 0.750 0.000 0.000
19 In 0.491 0.759 0.759
20 Ag 0.370 0.498 0.763

***

No. 7
Compound: Sm3In4Ag4
Source: the Alexandria database
Functional: GGA-PBE
Structure: optimized geometry

DOS at the Fermi energy ... 6.5 states/eV/cell
Energy relative to the lowest polymorph listed for this composition ... 0 meV per atom
VASP energy ... -3.647 eV/atom
Calculated volume ... 24.2 A^3/atom

Cell: 3.578 4.905 15.483 Å, 80.96 83.37 90.00°
Atoms (fractional coordinates):
1 In 0.735 0.735 0.530
2 In 0.407 0.907 0.186
3 Ag 0.453 0.454 0.093
4 Ag 0.547 0.546 0.907
5 In 0.593 0.093 0.814
6 In 0.265 0.265 0.470
7 Ag 0.685 0.186 0.629
8 Sm 0.860 0.360 0.280
9 Sm 0.140 0.640 0.720
10 Sm 0.000 0.000 0.000
11 Ag 0.315 0.815 0.371

***

No. 8
Compound: Sm8InAg2
Source: the Alexandria database
Functional: GGA-PBE
Structure: optimized geometry

DOS at the Fermi energy ... 16.3 states/eV/cell
Energy relative to the lowest polymorph listed for this composition ... 96 meV per atom
VASP energy ... -4.268 eV/atom
Calculated volume ... 30.6 A^3/atom

Cell: 5.542 8.510 8.510 Å, 117.41 99.85 99.85°
Atoms (fractional coordinates):
1 Sm 0.095 0.316 0.088
2 Sm 0.500 0.230 0.770
3 Ag 0.000 0.307 0.693
4 Sm 0.905 0.684 0.912
5 Sm 0.905 0.912 0.684
6 Sm 0.095 0.088 0.316
7 Ag 0.000 0.693 0.307
8 Sm 0.304 0.601 0.601
9 Sm 0.500 0.770 0.230
10 In 0.500 0.000 0.000
11 Sm 0.696 0.399 0.399

***

No. 9
Compound: SmInAg2
Source: the Alexandria database
Functional: GGA-PBE
Structure: optimized geometry

DOS at the Fermi energy ... 3.1 states/eV/cell
Energy relative to the lowest polymorph listed for this composition ... 167 meV per atom
VASP energy ... -3.487 eV/atom
Calculated volume ... 23.4 A^3/atom

Cell: 4.321 4.658 4.658 Å, 90.00 90.00 90.00°
Atoms (fractional coordinates):
1 Ag 0.000 0.000 0.500
2 Sm 0.500 0.500 0.500
3 Ag 0.000 0.500 0.000
4 In 0.500 0.000 0.000

***

No. 10
Compound: SmIn5Ag
Source: the Alexandria database
Functional: GGA-PBE
Structure: optimized geometry

DOS at the Fermi energy ... 2.5 states/eV/cell
VASP energy ... -3.276 eV/atom
Calculated volume ... 25.5 A^3/atom

Cell: 4.839 4.839 7.633 Å, 90.00 90.00 90.00°
Atoms (fractional coordinates):
1 In 0.000 0.500 0.709
2 In 0.500 0.000 0.709
3 Sm 0.000 0.000 0.000
4 In 0.500 0.500 0.000
5 Ag 0.000 0.000 0.500
6 In 0.500 0.000 0.291
7 In 0.000 0.500 0.291

***

No. 11
Compound: SmIn3Ag8
Source: the Alexandria database
Functional: GGA-PBE
Structure: optimized geometry

DOS at the Fermi energy ... 2.8 states/eV/cell
VASP energy ... -3.064 eV/atom
Calculated volume ... 20.9 A^3/atom

Cell: 5.591 5.591 9.284 Å, 90.00 90.00 120.00°
Atoms (fractional coordinates):
1 Ag 0.502 0.005 0.751
2 Ag 0.333 0.667 0.497
3 Ag 0.672 0.836 0.248
4 In 0.667 0.333 0.066
5 In 0.667 0.333 0.439
6 Ag 0.164 0.328 0.248
7 Ag 0.333 0.667 0.000
8 Ag 0.995 0.498 0.751
9 Ag 0.164 0.836 0.248
10 Sm 0.000 0.000 0.567
11 In 0.000 0.000 0.935
12 Ag 0.502 0.498 0.751

***

No. 12
Compound: Sm12In3Ag
Source: the Alexandria database
Functional: GGA-PBE
Structure: optimized geometry

DOS at the Fermi energy ... 22.8 states/eV/cell
VASP energy ... -4.433 eV/atom
Calculated volume ... 29.7 A^3/atom

Cell: 4.930 4.930 19.533 Å, 90.00 90.00 90.00°
Atoms (fractional coordinates):
1 Sm 0.000 0.500 0.627
2 Sm 0.000 0.500 0.878
3 Sm 0.500 0.000 0.627
4 Sm 0.500 0.000 0.878
5 Sm 0.500 0.000 0.122
6 Sm 0.500 0.500 0.000
7 Sm 0.000 0.500 0.122
8 Ag 0.000 0.000 0.000
9 Sm 0.500 0.000 0.373
10 Sm 0.500 0.500 0.245
11 Sm 0.000 0.500 0.373
12 Sm 0.500 0.500 0.500
13 In 0.000 0.000 0.752
14 In 0.000 0.000 0.500
15 Sm 0.500 0.500 0.755
16 In 0.000 0.000 0.248

***

No. 13
Compound: Sm3InAg
Source: the Alexandria database
Functional: GGA-PBE
Structure: optimized geometry

DOS at the Fermi energy ... 13.3 states/eV/cell
Energy relative to the lowest polymorph listed for this composition ... 0 meV per atom
VASP energy ... -4.223 eV/atom
Calculated volume ... 28.6 A^3/atom

Cell: 5.292 5.288 10.565 Å, 90.00 75.50 90.00°
Site moments in Bohr magnetons follow the coordinates.
Atoms (fractional coordinates):
1 Sm 0.765 0.250 0.119  0.03
2 Sm 0.576 0.250 0.497  0.09
3 In 0.670 0.750 0.308  0.00
4 Ag 0.169 0.250 0.310  0.01
5 Sm 0.261 0.750 0.127  0.03
6 In 0.978 0.250 0.692  0.00
7 Sm 0.884 0.750 0.881  0.03
8 Sm 0.073 0.750 0.503  0.09
9 Ag 0.479 0.750 0.690  0.01
10 Sm 0.388 0.250 0.873  0.03

***

No. 14
Compound: Sm4In2Ag
Source: the Alexandria database
Functional: GGA-PBE
Structure: optimized geometry

DOS at the Fermi energy ... 14.1 states/eV/cell
Energy relative to the lowest polymorph listed for this composition ... 48 meV per atom
VASP energy ... -4.096 eV/atom
Calculated volume ... 29.8 A^3/atom

Cell: 7.220 6.673 9.653 Å, 90.00 116.06 90.00°
Atoms (fractional coordinates):
1 In 0.791 0.750 0.070
2 Sm 0.549 0.009 0.220
3 Sm 0.451 0.991 0.780
4 Sm 0.040 0.750 0.452
5 In 0.408 0.250 0.470
6 Sm 0.451 0.509 0.780
7 Sm 0.978 0.250 0.151
8 Sm 0.960 0.250 0.548
9 Ag 0.784 0.250 0.776
10 In 0.209 0.250 0.930
11 Sm 0.022 0.750 0.849
12 Ag 0.216 0.750 0.224
13 Sm 0.549 0.491 0.220
14 In 0.592 0.750 0.530

***

No. 15
Compound: Sm3In2Ag
Source: the Alexandria database
Functional: GGA-PBE
Structure: optimized geometry

DOS at the Fermi energy ... 4.3 states/eV/cell
VASP energy ... -4.170 eV/atom
Calculated volume ... 27.2 A^3/atom

Cell: 3.642 3.642 12.323 Å, 90.00 90.00 90.00°
Atoms (fractional coordinates):
1 In 0.500 0.500 0.825
2 Sm 0.000 0.000 0.000
3 In 0.500 0.500 0.175
4 Sm 0.000 0.000 0.344
5 Ag 0.500 0.500 0.500
6 Sm 0.000 0.000 0.656

***

No. 16
Compound: Sm3InAg2
Source: the Alexandria database
Functional: GGA-PBE
Structure: optimized geometry

DOS at the Fermi energy ... 5.0 states/eV/cell
VASP energy ... -4.115 eV/atom
Calculated volume ... 26.4 A^3/atom

Cell: 3.682 3.682 11.688 Å, 90.00 90.00 90.00°
Atoms (fractional coordinates):
1 Ag 0.500 0.500 0.839
2 Sm 0.000 0.000 0.676
3 Sm 0.000 0.000 0.000
4 Sm 0.000 0.000 0.324
5 In 0.500 0.500 0.500
6 Ag 0.500 0.500 0.161

***

No. 17
Compound: Sm6InAg
Source: the Alexandria database
Functional: GGA-PBE
Structure: optimized geometry

DOS at the Fermi energy ... 8.7 states/eV/cell
VASP energy ... -4.406 eV/atom
Calculated volume ... 30.5 A^3/atom

Cell: 9.856 9.856 9.856 Å, 149.63 149.63 43.49°
Atoms (fractional coordinates):
1 Ag 0.000 0.000 0.000
2 Sm 0.389 0.889 0.500
3 Sm 0.889 0.389 0.500
4 Sm 0.111 0.611 0.500
5 Sm 0.251 0.251 0.000
6 Sm 0.749 0.749 0.000
7 Sm 0.611 0.111 0.500
8 In 0.500 0.500 0.000

***

No. 18
Compound: SmInAgSn
Source: the Alexandria database
Functional: GGA-PBE
Structure: optimized geometry

DOS at the Fermi energy ... 3.0 states/eV/cell
Energy relative to the lowest polymorph listed for this composition ... 200 meV per atom
VASP energy ... -3.813 eV/atom
Calculated volume ... 25.1 A^3/atom

Cell: 5.219 5.219 5.219 Å, 60.00 60.00 60.00°
Atoms (fractional coordinates):
1 Ag 0.750 0.750 0.750
2 Sm 0.500 0.500 0.500
3 Sn 0.250 0.250 0.250
4 In 0.000 0.000 0.000

***

No. 19
Compound: SmInAgSn
Source: the Alexandria database
Functional: GGA-PBE
Structure: optimized geometry

DOS at the Fermi energy ... 1.9 states/eV/cell
Energy relative to the lowest polymorph listed for this composition ... 0 meV per atom
VASP energy ... -4.013 eV/atom
Calculated volume ... 24.3 A^3/atom

Cell: 4.512 4.501 4.790 Å, 90.00 90.00 90.00°
Atoms (fractional coordinates):
1 Ag 0.500 0.000 0.500
2 Sm 0.500 0.500 0.000
3 Sn 0.000 0.000 0.000
4 In 0.000 0.500 0.500

***

No. 20
Compound: SrSmInAg
Source: the Alexandria database
Functional: GGA-PBE
Structure: optimized geometry

DOS at the Fermi energy ... 3.2 states/eV/cell
Energy relative to the lowest polymorph listed for this composition ... 0 meV per atom
VASP energy ... -3.358 eV/atom
Calculated volume ... 29.3 A^3/atom

Cell: 3.817 3.817 8.050 Å, 90.00 90.00 90.00°
Atoms (fractional coordinates):
1 In 0.500 0.500 0.130
2 Sr 0.000 0.000 0.848
3 Ag 0.500 0.500 0.578
4 Sm 0.000 0.000 0.371

***

No. 21
Compound: SrSm2In2Ag2
Source: the Alexandria database
Functional: GGA-PBE
Structure: optimized geometry

DOS at the Fermi energy ... 5.3 states/eV/cell
VASP energy ... -3.486 eV/atom
Calculated volume ... 29.0 A^3/atom

Cell: 4.953 4.953 9.968 Å, 75.61 75.61 60.00°
Atoms (fractional coordinates):
1 In 0.253 0.253 0.241
2 Ag 0.588 0.588 0.236
3 Sm 0.128 0.128 0.615
4 Ag 0.412 0.412 0.764
5 In 0.747 0.747 0.759
6 Sr 0.000 0.000 0.000
7 Sm 0.872 0.872 0.385

***

No. 22
Compound: SrSmInAg
Source: the Alexandria database
Functional: GGA-PBE
Structure: optimized geometry

DOS at the Fermi energy ... 4.2 states/eV/cell
Energy relative to the lowest polymorph listed for this composition ... 40 meV per atom
VASP energy ... -3.318 eV/atom
Calculated volume ... 29.2 A^3/atom

Cell: 5.487 5.487 5.487 Å, 60.00 60.00 60.00°
Atoms (fractional coordinates):
1 Sm 0.500 0.500 0.500
2 In 0.750 0.750 0.750
3 Sr 0.000 0.000 0.000
4 Ag 0.250 0.250 0.250

***

No. 23
Compound: TbSmInAg
Source: the Alexandria database
Functional: GGA-PBE
Structure: optimized geometry

DOS at the Fermi energy ... 3.9 states/eV/cell
VASP energy ... -4.119 eV/atom
Calculated volume ... 26.6 A^3/atom

Cell: 5.318 5.318 5.318 Å, 60.00 60.00 60.00°
Site moments in Bohr magnetons follow the coordinates.
Atoms (fractional coordinates):
1 Ag 0.250 0.250 0.250  0.01
2 In 0.750 0.750 0.750  0.00
3 Sm 0.500 0.500 0.500  0.05
4 Tb 0.000 0.000 0.000  0.06

***

No. 24
Compound: TbSm2In2Ag2
Source: the Alexandria database
Functional: GGA-PBE
Structure: optimized geometry

DOS at the Fermi energy ... 5.6 states/eV/cell
VASP energy ... -3.900 eV/atom
Calculated volume ... 26.4 A^3/atom

Cell: 4.868 4.868 9.447 Å, 75.07 75.07 60.00°
Atoms (fractional coordinates):
1 In 0.263 0.263 0.212
2 In 0.737 0.737 0.788
3 Ag 0.606 0.606 0.181
4 Ag 0.394 0.394 0.819
5 Tb 0.000 0.000 0.000
6 Sm 0.874 0.874 0.377
7 Sm 0.126 0.126 0.623